The following is a PBE calculation of crystalline Ti2AlHRh at its relaxed geometry, from Alexandria via LeMat-Bulk.

abc: 4.003 4.003 3.966
angles: 90.00 90.00 90.00
Positions (direct):
1 Ti 0.000 0.500 0.000
2 Ti 0.500 0.000 0.000
3 Al 0.000 0.000 0.500
4 H 0.500 0.500 0.000
5 Rh 0.500 0.500 0.500

Results
Its spin magnetization is 0.00 Bohr magnetons per cell. Its electronic total energy is -6.580 eV/atom. Its density of states at the Fermi level is 4.97 states/eV/cell.